[1]
VASP calculation (GGA-PBE) on a relaxed structure of SrZnRe.

Lattice parameters (Å, degrees): 2.9187 4.0133 10.9771 90.00 90.00 90.00
Closest atoms and distances in Å follow each position.
Space group Imm2 (No. 44)
Asymmetric unit:
Sr1 0.0000 0.0000 0.0000 x2  2 Sr 2.92, 1 Zn 3.10, 1 Re 3.23
Zn1 0.0000 0.0000 0.7175 x2  4 Re 2.62, 2 Zn 2.92
Re1 0.0000 0.0000 0.2944 x2  4 Zn 2.62, 2 Re 2.92

spin magnetization = 0.000 μB per formula unit
density of states at the Fermi level = 0.975 states/eV per atom
total energy = -27.13 eV for the cell shown

***

[2]
VASP calculation (GGA-PBE) on a relaxed structure of SrZr2Re.

Lattice parameters (Å, degrees): 4.2675 4.2675 9.8642 90.00 90.00 90.00
Closest atoms and distances in Å follow each position.
Space group I-4m2 (No. 119)
Asymmetric unit:
Sr1 0.0000 0.0000 0.0000 x2  8 Zr 3.02-3.26, 4 Re 3.26
Zr1 0.0000 0.0000 0.5000 x2  4 Sr 3.02, 4 Zr 3.26, 4 Re 3.26
Zr2 0.0000 0.5000 0.7500 x2  4 Re 3.02, 4 Zr 3.26, 4 Sr 3.26
Re1 0.0000 0.5000 0.2500 x2  8 Zr 3.02-3.26, 4 Sr 3.26

spin magnetization = 0.000 μB per formula unit
density of states at the Fermi level = 1.145 states/eV per atom
total energy = -56.30 eV for the cell shown

***

[3]
VASP calculation (GGA-PBE) on a relaxed structure of SrZr2Re.

Lattice parameters (Å, degrees): 6.4264 10.2948 2.9341 90.00 114.08 90.00
Closest atoms and distances in Å follow each position.
Space group C2/m (No. 12)
Asymmetric unit:
Sr1 0.0000 0.0000 0.0000 x2  2 Sr 2.93, 4 Zr 3.07, 2 Re 3.21
Zr1 0.2500 0.2500 0.5000 x4  4 Zr 2.93-3.21, 2 Re 3.07, 2 Sr 3.07
Re1 0.0000 0.5000 0.0000 x2  2 Re 2.93, 4 Zr 3.07, 2 Sr 3.21

spin magnetization = 0.000 μB per formula unit
density of states at the Fermi level = 1.194 states/eV per atom
total energy = -56.79 eV for the cell shown

***

[4]
VASP calculation (GGA-PBE) on a relaxed structure of SrZrRe2.

Lattice parameters (Å, degrees): 10.6110 3.2269 5.5644 90.00 106.59 90.00
Closest atoms and distances in Å follow each position.
Space group Cm (No. 8)
Asymmetric unit:
Sr1 0.0000 0.0000 0.0000 x2  7 Re 3.21-3.44, 2 Sr 3.23, 3 Zr 3.28-3.57
Zr1 0.2961 0.5000 0.3464 x2  4 Re 2.77-2.94
Re1 0.0364 0.5000 0.5251 x2  2 Re 2.45
Re2 0.2151 0.0000 0.6793 x2  2 Re 2.45

spin magnetization = 0.000 μB per formula unit
density of states at the Fermi level = 0.863 states/eV per atom
total energy = -65.79 eV for the cell shown

***

[5]
VASP calculation (GGA-PBE) on a relaxed structure of SrZr2Re.

Lattice parameters (Å, degrees): 3.3272 3.3271 9.4025 90.00 90.12 90.00
Closest atoms and distances in Å follow each position.
Space group P2/m (No. 10)
Asymmetric unit:
Sr1 0.0000 0.0000 0.0000 x1  4 Sr 3.33
Zr1 0.4999 0.5000 0.3335 x2  4 Re 2.82-2.83, 1 Zr 3.13
Re1 0.0000 0.0000 0.5000 x1  8 Zr 2.82-2.83

spin magnetization = 0.000 μB per formula unit
density of states at the Fermi level = 1.092 states/eV per atom
total energy = -30.72 eV for the cell shown

***

[6]
VASP calculation (GGA-PBE) on a relaxed structure of Sr2ZrRe.

Lattice parameters (Å, degrees): 6.0516 10.9370 3.0432 90.00 90.00 90.00
Closest atoms and distances in Å follow each position.
Space group Cmmm (No. 65)
Asymmetric unit:
Sr1 0.2500 0.2500 0.0000 x4  4 Sr 3.03-3.04
Zr1 0.0000 0.0000 0.5000 x2  2 Re 3.03, 2 Zr 3.04
Re1 0.0000 0.5000 0.5000 x2  2 Zr 3.03, 2 Re 3.04

spin magnetization = 0.000 μB per formula unit
density of states at the Fermi level = 1.057 states/eV per atom
total energy = -40.72 eV for the cell shown

***

[7]
VASP calculation (GGA-PBE) on a relaxed structure of Sr2ZrRe.

Lattice parameters (Å, degrees): 3.6862 5.8582 11.2535 90.00 90.00 90.00
Closest atoms and distances in Å follow each position.
Space group Imm2 (No. 44)
Asymmetric unit:
Sr1 0.0000 0.0000 0.0000 x2  4 Re 3.49, 4 Zr 3.65-3.91, 6 Sr 3.67-3.88
Sr2 0.0000 0.5000 0.1970 x2  2 Re 3.24
Zr1 0.0000 0.5000 0.8062 x2  2 Re 2.53
Re1 0.0000 0.0000 0.4600 x2  2 Zr 2.53

spin magnetization = 0.000 μB per formula unit
density of states at the Fermi level = 0.976 states/eV per atom
total energy = -44.32 eV for the cell shown

***

[8]
VASP calculation (GGA-PBE) on a relaxed structure of SrZrRe2.

Lattice parameters (Å, degrees): 3.6708 3.6708 7.1465 90.00 90.00 90.00
Closest atoms and distances in Å follow each position.
Space group P4/mmm (No. 123)
Asymmetric unit:
Sr1 0.0000 0.0000 0.0000 x1  8 Re 3.54, 2 Zr 3.57, 4 Sr 3.67
Zr1 0.0000 0.0000 0.5000 x1  8 Re 2.85
Re1 0.5000 0.5000 0.3367 x2  1 Re 2.33

spin magnetization = 0.003 μB per formula unit
density of states at the Fermi level = 0.762 states/eV per atom
total energy = -32.88 eV for the cell shown

***

[9]
VASP calculation (GGA-PBE) on a relaxed structure of SrZrRe2.

Lattice parameters (Å, degrees): 3.2421 5.1116 10.4463 90.00 90.00 90.00
Closest atoms and distances in Å follow each position.
Space group Imm2 (No. 44)
Asymmetric unit:
Sr1 0.0000 0.0000 0.0000 x2  6 Re 3.07-3.29, 2 Sr 3.24, 4 Zr 3.38-3.42
Zr1 0.0000 0.5000 0.7880 x2  6 Re 3.09-3.19, 2 Zr 3.24, 4 Sr 3.38-3.42
Re1 0.0000 0.0000 0.5514 x2  2 Re 2.44
Re2 0.0000 0.5000 0.2263 x2  2 Re 2.44

spin magnetization = 0.000 μB per formula unit
density of states at the Fermi level = 0.835 states/eV per atom
total energy = -65.56 eV for the cell shown

***

[10]
VASP calculation (GGA-PBE) on a relaxed structure of SrZr2Re.

Lattice parameters (Å, degrees): 5.5590 5.5590 17.5685 90.00 90.00 90.00
Closest atoms and distances in Å follow each position.
Space group I-42d (No. 122)
Asymmetric unit:
Sr1 0.0000 0.0000 0.0000 x4  8 Zr 3.80-3.81, 4 Re 3.93
Zr1 0.0015 0.7500 0.6250 x8  2 Re 2.60, 2 Zr 2.78
Re1 0.0000 0.0000 0.5000 x4  4 Zr 2.60

spin magnetization = 0.000 μB per formula unit
density of states at the Fermi level = 1.402 states/eV per atom
total energy = -106.67 eV for the cell shown

***

[11]
VASP calculation (GGA-PBE) on a relaxed structure of SrZrRe2.

Lattice parameters (Å, degrees): 5.0529 5.0529 3.1552 90.00 90.00 90.00
Closest atoms and distances in Å follow each position.
Space group P4/mmm (No. 123)
Asymmetric unit:
Sr1 0.0000 0.0000 0.0000 x1  8 Re 2.98, 2 Sr 3.16
Zr1 0.5000 0.5000 0.0000 x1  8 Re 2.98, 2 Zr 3.16
Re1 0.0000 0.5000 0.5000 x2  4 Zr 2.98, 4 Sr 2.98, 2 Re 3.16

spin magnetization = 0.000 μB per formula unit
density of states at the Fermi level = 1.115 states/eV per atom
total energy = -31.12 eV for the cell shown

***

[12]
VASP calculation (GGA-PBE) on a relaxed structure of SrZrRe.

Lattice parameters (Å, degrees): 6.7598 6.7598 6.7598 90.00 90.00 90.00
Closest atoms and distances in Å follow each position.
Space group F-43m (No. 216)
Asymmetric unit:
Sr1 0.0000 0.0000 0.0000 x4  4 Re 2.93
Zr1 0.0000 0.0000 0.5000 x4  4 Re 2.93
Re1 0.2500 0.2500 0.7500 x4  4 Zr 2.93, 4 Sr 2.93

spin magnetization = 0.000 μB per formula unit
density of states at the Fermi level = 0.941 states/eV per atom
total energy = -80.20 eV for the cell shown

***

[13]
VASP calculation (GGA-PBE) on a relaxed structure of SrZrRe2.

Lattice parameters (Å, degrees): 6.8458 6.8458 6.8458 90.00 90.00 90.00
Closest atoms and distances in Å follow each position.
Space group Fm-3m (No. 225)
Asymmetric unit:
Sr1 0.0000 0.0000 0.0000 x4  8 Re 2.96
Zr1 0.0000 0.0000 0.5000 x4  8 Re 2.96
Re1 0.2500 0.2500 0.2500 x8  4 Sr 2.96, 4 Zr 2.96

spin magnetization = 0.000 μB per formula unit
density of states at the Fermi level = 1.102 states/eV per atom
total energy = -125.38 eV for the cell shown

***

[14]
VASP calculation (GGA-PBE) on a relaxed structure of SrZrRe2.

Lattice parameters (Å, degrees): 3.0048 4.5459 6.8142 90.00 100.23 90.00
Closest atoms and distances in Å follow each position.
Space group P2/m (No. 10)
Asymmetric unit:
Sr1 0.0000 0.0000 0.0000 x1  2 Sr 3.00, 4 Re 3.36
Zr1 0.5000 0.0000 0.5000 x1  4 Re 2.75, 2 Zr 3.00
Re1 0.2110 0.5000 0.6657 x2  1 Re 2.39

spin magnetization = 0.000 μB per formula unit
density of states at the Fermi level = 0.982 states/eV per atom
total energy = -32.75 eV for the cell shown

***

[15]
VASP calculation (GGA-PBE) on a relaxed structure of SrZrRe.

Lattice parameters (Å, degrees): 3.4412 3.4412 7.5309 90.00 90.00 120.00
Closest atoms and distances in Å follow each position.
Space group P3m1 (No. 156)
Asymmetric unit:
Sr1 0.0000 0.0000 0.0000 x1  3 Re 3.18, 6 Sr 3.44
Zr1 0.6667 0.3333 0.4373 x1  3 Re 2.65
Re1 0.3333 0.6667 0.6705 x1  3 Zr 2.65

spin magnetization = 0.000 μB per formula unit
density of states at the Fermi level = 1.028 states/eV per atom
total energy = -20.65 eV for the cell shown

***

[16]
VASP calculation (GGA-PBE) on a relaxed structure of Sr2ZrRe.

Lattice parameters (Å, degrees): 3.3009 3.3009 33.9552 90.00 90.00 120.00
Closest atoms and distances in Å follow each position.
Space group R-3m (No. 166, hexagonal axes)
Asymmetric unit:
Sr1 0.0000 0.0000 0.2399 x6  3 Re 3.13, 6 Sr 3.30
Zr1 0.0000 0.0000 0.0000 x3  6 Zr 3.30
Re1 0.0000 0.0000 0.5000 x3  6 Sr 3.13, 6 Re 3.30

spin magnetization = 1.770 μB per formula unit
density of states at the Fermi level = 1.166 states/eV per atom
total energy = -59.47 eV for the cell shown

***

[17]
VASP calculation (GGA-PBE) on a relaxed structure of SrZrRe2.

Lattice parameters (Å, degrees): 2.9711 2.9711 31.8064 90.00 90.00 120.00
Closest atoms and distances in Å follow each position.
Space group R3m (No. 160, hexagonal axes)
Asymmetric unit:
Sr1 0.0000 0.0000 0.0000 x3  6 Sr 2.97, 3 Re 3.27
Zr1 0.0000 0.0000 0.2308 x3  6 Zr 2.97, 3 Re 3.06
Re1 0.0000 0.0000 0.4844 x3  3 Re 2.65
Re2 0.0000 0.0000 0.7543 x3  3 Re 2.65

spin magnetization = 0.002 μB per formula unit
density of states at the Fermi level = 1.611 states/eV per atom
total energy = -96.35 eV for the cell shown

***

[18]
VASP calculation (GGA-PBE) on a relaxed structure of SrZrRe2.

Lattice parameters (Å, degrees): 6.7539 6.7539 6.7539 90.00 90.00 90.00
Closest atoms and distances in Å follow each position.
Space group F-43m (No. 216)
Asymmetric unit:
Sr1 0.0000 0.0000 0.0000 x4  4 Zr 2.92, 4 Re 2.92
Zr1 0.2500 0.2500 0.2500 x4  4 Re 2.92, 4 Sr 2.92
Re1 0.0000 0.0000 0.5000 x4  4 Zr 2.92, 4 Re 2.92
Re2 0.2500 0.2500 0.7500 x4  4 Re 2.92, 4 Sr 2.92

spin magnetization = 0.000 μB per formula unit
density of states at the Fermi level = 1.154 states/eV per atom
total energy = -127.55 eV for the cell shown

***

[19]
VASP calculation (GGA-PBE) on a relaxed structure of SrZr2Re.

Lattice parameters (Å, degrees): 4.4196 4.4196 20.0887 90.00 90.00 120.00
Closest atoms and distances in Å follow each position.
Space group R3m (No. 160, hexagonal axes)
Asymmetric unit:
Sr1 0.0000 0.0000 0.0000 x3  6 Zr 3.41-3.62, 1 Re 3.60
Zr1 0.0000 0.0000 0.2057 x3  3 Re 2.75
Zr2 0.0000 0.0000 0.4460 x3  3 Re 2.68
Re1 0.0000 0.0000 0.8207 x3  6 Zr 2.68-2.75

spin magnetization = 0.046 μB per formula unit
density of states at the Fermi level = 1.491 states/eV per atom
total energy = -89.86 eV for the cell shown

***

[20]
VASP calculation (GGA-PBE) on a relaxed structure of SrZrRe.

Lattice parameters (Å, degrees): 3.4637 3.4637 12.8417 90.00 90.00 90.00
Closest atoms and distances in Å follow each position.
Space group I4mm (No. 107)
Asymmetric unit:
Sr1 0.0000 0.0000 0.0000 x2  4 Re 3.28, 1 Zr 3.41, 4 Sr 3.46
Zr1 0.0000 0.0000 0.2652 x2  4 Re 2.74
Re1 0.0000 0.0000 0.6699 x2  4 Zr 2.74

spin magnetization = 0.000 μB per formula unit
density of states at the Fermi level = 1.043 states/eV per atom
total energy = -43.01 eV for the cell shown